## KLaCl2 (GGA-PBE)

Data for a relaxed structure of KLaCl2.

Output
offset from the most stable computed form: 1.023 eV/atom
ΔE_f (raw): -645 meV per atom
N(E_F): 1.27 states/eV per atom
size of the total moment: 1.97 μB per cell

a b c (Å): 5.4777 5.4777 5.4777
angles (deg): 60.00 60.00 60.00
Closest atoms and distances in Å follow each position.
Positions (direct):
K 0.5000 0.5000 0.5000  4 La 3.35, 4 Cl 3.35
Cl 0.0000 0.0000 0.0000  4 Cl 3.35, 4 La 3.35
Cl 0.2500 0.2500 0.2500  4 Cl 3.35, 4 K 3.35
La 0.7500 0.7500 0.7500  4 K 3.35, 4 Cl 3.35

## Mn3Nb2Ga (GGA-PBE)

Data for a relaxed structure of Mn3Nb2Ga.

Output
DFT formation energy: -0.19 eV per atom
N(E_F): 1.29 states/eV per atom
size of the total moment: 2.15 μB per cell

a b c (Å): 4.8534 4.8534 4.9474
angles (deg): 90.02 119.43 119.92
Closest atoms and distances in Å follow each position.
Positions (direct):
Mn 0.5000 0.5000 0.5000  4 Mn 2.43, 2 Ga 2.47
Mn 0.0000 0.0000 0.5000  4 Mn 2.43, 2 Ga 2.47
Mn 0.5000 0.0000 0.5000  4 Mn 2.43, 2 Ga 2.47
Nb 0.7553 0.3776 0.1329  9 Mn 2.85-2.94, 3 Ga 2.85-2.86, 4 Nb 2.99-3.01
Nb 0.2447 0.6224 0.8671  9 Mn 2.85-2.94, 3 Ga 2.85-2.86, 4 Nb 2.99-3.01
Ga 0.0000 0.0000 0.0000  6 Mn 2.47

## NaCd2InHg6 (GGA-PBE)

Data for a relaxed structure of NaCd2InHg6.

Output
DFT formation energy: -0.04 eV per atom
N(E_F): 0.28 states/eV per atom
size of the total moment: 0.00 μB per cell

a b c (Å): 8.1508 8.7952 7.1480
angles (deg): 45.36 47.01 59.18
Closest atoms and distances in Å follow each position.
Positions (direct):
Na 0.2835 0.1192 0.3404  7 Hg 3.25-3.38, 2 Cd 3.50-3.61
Cd 0.4135 0.5859 0.5017  6 Hg 2.97-3.18
Cd 0.8691 0.9790 0.0995  6 Hg 2.93-3.16, 1 In 3.24
In 0.8421 0.7988 0.7000  5 Hg 3.00-3.23, 1 Cd 3.24
Hg 0.6241 0.3087 0.2432  2 Cd 2.98-3.17, 4 Hg 3.09-3.23
Hg 0.2923 0.9701 0.0199  2 Cd 3.02-3.06, 1 In 3.23, 3 Hg 3.28-3.36, 1 Na 3.30
Hg 0.0125 0.5905 0.1028  2 Cd 2.98-3.18, 1 In 3.00, 3 Hg 3.04-3.11, 1 Na 3.28
Hg 0.5014 0.6874 0.7443  2 Cd 2.97-3.04, 3 Hg 3.09-3.31, 1 In 3.15, 1 Na 3.25
Hg 0.7282 0.2037 0.6714  2 Cd 2.93-3.01, 2 Hg 3.04-3.12, 1 In 3.07, 1 Na 3.27
Hg 0.0950 0.4184 0.5919  2 Cd 3.10-3.16, 4 Hg 3.11-3.28, 1 In 3.23, 1 Na 3.36

## Na3Pm12H5 (GGA-PBE)

Data for a relaxed structure of Na3Pm12H5.

Output
final energy: -310.09 eV/cell
N(E_F): 1.00 states/eV per atom
size of the total moment: 0.00 μB per cell

a b c (Å): 14.0322 14.0322 14.0322
angles (deg): 109.47 109.47 109.47
Closest atoms and distances in Å follow each position.
Positions (direct):
Na 0.7500 0.3750 0.1250  8 Pm 3.33
Na 0.8750 0.7500 0.1250  8 Pm 3.33
Na 0.3750 0.7500 0.6250  8 Pm 3.33
Na 0.2500 0.1250 0.3750  8 Pm 3.33
Na 0.8750 0.1250 0.2500  8 Pm 3.33
Na 0.3750 0.6250 0.2500  8 Pm 3.33
Na 0.6250 0.3750 0.7500  8 Pm 3.33
Na 0.1250 0.8750 0.7500  8 Pm 3.33
Na 0.7500 0.8750 0.6250  8 Pm 3.33
Na 0.6250 0.2500 0.3750  8 Pm 3.33
Na 0.1250 0.2500 0.8750  8 Pm 3.33
Na 0.2500 0.6250 0.8750  8 Pm 3.33
H 0.1250 0.3750 0.2500  4 Pm 2.25
H 0.0000 0.5000 0.0000  6 Pm 2.64
H 0.0000 0.0000 0.0000  6 Pm 2.64
H 0.3750 0.2500 0.1250  4 Pm 2.25
H 0.5000 0.0000 0.5000  6 Pm 2.64
H 0.5000 0.5000 0.0000  6 Pm 2.64
H 0.1250 0.7500 0.3750  4 Pm 2.25
H 0.7500 0.1250 0.8750  4 Pm 2.25
H 0.7500 0.6250 0.3750  4 Pm 2.25
H 0.3750 0.1250 0.7500  4 Pm 2.25
H 0.6250 0.8750 0.2500  4 Pm 2.25
H 0.5000 0.5000 0.5000  6 Pm 2.64
H 0.5000 0.0000 0.0000  6 Pm 2.64
H 0.0000 0.0000 0.5000  6 Pm 2.64
H 0.2500 0.3750 0.6250  4 Pm 2.25
H 0.2500 0.8750 0.1250  4 Pm 2.25
H 0.0000 0.5000 0.5000  6 Pm 2.64
H 0.8750 0.2500 0.6250  4 Pm 2.25
H 0.6250 0.7500 0.8750  4 Pm 2.25
H 0.8750 0.6250 0.7500  4 Pm 2.25
Pm 0.6992 0.1020 0.0053  1 H 2.25
Pm 0.3061 0.5053 0.4033  1 H 2.25
Pm 0.9947 0.3980 0.3008  1 H 2.25
Pm 0.5053 0.1992 0.1020  1 H 2.25
Pm 0.5972 0.6992 0.6939  1 H 2.25
Pm 0.9947 0.5967 0.1939  1 H 2.25
Pm 0.3061 0.8008 0.4028  1 H 2.25
Pm 0.0967 0.9028 0.1020  1 H 2.25
Pm 0.5967 0.9947 0.6939  1 H 2.25
Pm 0.6992 0.5972 0.1939  1 H 2.25
Pm 0.8008 0.4947 0.3980  1 H 2.25
Pm 0.8061 0.9033 0.0053  1 H 2.25
Pm 0.1020 0.6992 0.5053  1 H 2.25
Pm 0.3980 0.4033 0.0972  1 H 2.25
Pm 0.0972 0.9033 0.3980  1 H 2.25
Pm 0.4028 0.1020 0.5967  1 H 2.25
Pm 0.0972 0.1939 0.1992  1 H 2.25
Pm 0.4947 0.6939 0.0967  1 H 2.25
Pm 0.8061 0.9028 0.3008  1 H 2.25
Pm 0.1020 0.4028 0.0967  1 H 2.25
Pm 0.3980 0.9947 0.8008  1 H 2.25
Pm 0.5967 0.6020 0.4028  1 H 2.25
Pm 0.9033 0.8061 0.5053  1 H 2.25
Pm 0.8008 0.3061 0.9028  1 H 2.25
Pm 0.4033 0.3980 0.5972  1 H 2.25
Pm 0.0967 0.1939 0.4947  1 H 2.25
Pm 0.1992 0.6939 0.0972  1 H 2.25
Pm 0.1939 0.0972 0.6992  1 H 2.25
Pm 0.6020 0.0053 0.1992  1 H 2.25
Pm 0.8980 0.5972 0.9033  1 H 2.25
Pm 0.5053 0.3061 0.9033  1 H 2.25
Pm 0.5972 0.8980 0.4033  1 H 2.25
Pm 0.9028 0.8061 0.8008  1 H 2.25
Pm 0.9028 0.0967 0.6020  1 H 2.25
Pm 0.8980 0.3008 0.4947  1 H 2.25
Pm 0.1939 0.0967 0.9947  1 H 2.25
Pm 0.6020 0.5967 0.9028  1 H 2.25
Pm 0.4033 0.0053 0.3061  1 H 2.25
Pm 0.3008 0.4028 0.8061  1 H 2.25
Pm 0.1992 0.5053 0.6020  1 H 2.25
Pm 0.9033 0.0972 0.8980  1 H 2.25
Pm 0.6939 0.1992 0.5972  1 H 2.25
Pm 0.4947 0.8008 0.8980  1 H 2.25
Pm 0.0053 0.4033 0.8061  1 H 2.25
Pm 0.4028 0.3008 0.3061  1 H 2.25
Pm 0.0053 0.6020 0.6992  1 H 2.25
Pm 0.6939 0.4947 0.5967  1 H 2.25
Pm 0.3008 0.8980 0.9947  1 H 2.25

## PmTh2Ni6 (GGA-PBE)

Data for a relaxed structure of PmTh2Ni6.

Output
offset from the most stable computed form: 0.162 eV/atom
DFT formation energy: -0.23 eV per atom
N(E_F): 0.72 states/eV per atom
size of the total moment: 0.00 μB per cell

a b c (Å): 3.6285 7.6405 7.6405
angles (deg): 54.73 76.26 76.26
Closest atoms and distances in Å follow each position.
Positions (direct):
Pm 0.5000 0.5000 0.5000  12 Ni 2.90-3.19
Th 0.3537 0.1463 0.1463  10 Ni 2.72-2.92
Th 0.6463 0.8537 0.8537  10 Ni 2.72-2.92
Ni 0.1728 0.5170 0.1374  2 Ni 2.44-2.67, 1 Th 2.72
Ni 0.8272 0.4830 0.8626  2 Ni 2.44-2.67, 1 Th 2.72
Ni 0.8272 0.8626 0.4830  2 Ni 2.44-2.67, 1 Th 2.72
Ni 0.0000 0.1779 0.8221  3 Ni 2.44-2.50
Ni 0.0000 0.8221 0.1779  3 Ni 2.44-2.50
Ni 0.1728 0.1374 0.5170  2 Ni 2.44-2.67, 1 Th 2.72

## CsBeBiAs2 (GGA-PBE)

Data for a relaxed structure of CsBeBiAs2.

Output
DFT formation energy: 0.69 eV per atom
N(E_F): 0.77 states/eV per atom
size of the total moment: 0.00 μB per cell

a b c (Å): 5.6632 5.2459 5.6632
angles (deg): 90.00 90.00 90.00
Closest atoms and distances in Å follow each position.
Positions (direct):
Cs 0.5000 0.5000 0.5000  8 As 3.86, 4 Be 4.00
Be 0.0000 0.5000 0.0000  2 Bi 2.62
As 0.0000 0.0000 0.5000  2 Bi 2.83
As 0.5000 0.0000 0.0000  2 Bi 2.83
Bi 0.0000 0.0000 0.0000  2 Be 2.62, 4 As 2.83

## La2Au2S (GGA-PBE)

Data for a relaxed structure of La2Au2S.

Output
ΔE_f (raw): -1092 meV per atom
N(E_F): 0.66 states/eV per atom
size of the total moment: 0.00 μB per cell

a b c (Å): 7.9641 7.9641 4.3555
angles (deg): 90.00 90.00 90.00
Closest atoms and distances in Å follow each position.
Positions (direct):
S 0.0000 0.0000 0.0000  4 La 2.92
S 0.5000 0.5000 0.0000  4 La 2.92
Au 0.1246 0.6246 0.5000  1 Au 2.81, 2 La 3.10
Au 0.6246 0.8754 0.5000  1 Au 2.81, 2 La 3.10
Au 0.8754 0.3754 0.5000  1 Au 2.81, 2 La 3.10
Au 0.3754 0.1246 0.5000  1 Au 2.81, 2 La 3.10
La 0.3200 0.8200 0.0000  2 S 2.92, 2 Au 3.10
La 0.8200 0.6800 0.0000  2 S 2.92, 2 Au 3.10
La 0.6800 0.1800 0.0000  2 S 2.92, 2 Au 3.10
La 0.1800 0.3200 0.0000  2 S 2.92, 2 Au 3.10

## InGa9Sn2 (GGA-PBE)

Data for a relaxed structure of InGa9Sn2.

Output
offset from the most stable computed form: 0.016 eV/atom
DFT formation energy: 0.06 eV per atom
N(E_F): 0.52 states/eV per atom
size of the total moment: 0.00 μB per cell

a b c (Å): 5.6809 5.6809 9.8362
angles (deg): 73.22 73.22 60.00
Closest atoms and distances in Å follow each position.
Positions (direct):
In 0.0000 0.0000 0.0000  6 Ga 3.28
Ga 0.6637 0.6637 0.0088  6 Ga 2.82-2.91
Ga 0.3363 0.3363 0.9912  6 Ga 2.82-2.91
Ga 0.5000 0.5000 0.5000  6 Ga 2.84
Ga 0.4113 0.4113 0.2531  7 Ga 2.77-2.91
Ga 0.9244 0.4113 0.2531  7 Ga 2.77-2.91
Ga 0.4113 0.9244 0.2531  7 Ga 2.77-2.91
Ga 0.5887 0.5887 0.7469  7 Ga 2.77-2.91
Ga 0.5887 0.0756 0.7469  7 Ga 2.77-2.91
Ga 0.0756 0.5887 0.7469  7 Ga 2.77-2.91
Sn 0.8616 0.8616 0.4151  12 Ga 3.21-3.47
Sn 0.1384 0.1384 0.5849  12 Ga 3.21-3.47